Record 1
The following is a DFT calculation (PBE) of a geometry-optimized Er4CdSnC structure.

volume = 25.4 A^3/atom
density = 8.52 Mg/m³
DFT total energy = -5.06 eV/atom

Unit cell a=6.8589 b=6.8264 c=8.3322 alpha=90.00 beta=114.30 gamma=90.00
With the nearest neighbours (Å) after each atom.
Fractional coordinates of all 14 atoms:
Er 0.9105 0.2500 0.8210  1 C 2.46
Er 0.4130 0.7500 0.8259  1 C 2.46
Er 0.0895 0.7500 0.1790  1 C 2.46
Er 0.5870 0.2500 0.1741  1 C 2.46
Er 0.5000 0.5000 0.5000  2 C 2.42
Er 0.0000 0.0000 0.5000  2 C 2.42
Er 0.5000 0.0000 0.5000  2 C 2.42
Er 0.0000 0.5000 0.5000  2 C 2.42
Cd 0.6146 0.7500 0.2292  5 Er 3.06-3.18
Cd 0.3854 0.2500 0.7708  5 Er 3.06-3.18
Sn 0.1156 0.2500 0.2312  9 Er 3.12-3.46
Sn 0.8844 0.7500 0.7688  9 Er 3.12-3.46
C 0.2512 0.7500 0.5024  6 Er 2.42-2.46
C 0.7488 0.2500 0.4976  6 Er 2.42-2.46

***

Record 2
The following is a DFT calculation (PBE) of a geometry-optimized TbEr2CdC structure.

volume = 23.6 A^3/atom
density = 8.69 Mg/m³
DFT total energy = -5.10 eV/atom

Unit cell a=5.0018 b=4.8571 c=4.8571 alpha=90.00 beta=90.00 gamma=90.00
With the nearest neighbours (Å) after each atom.
Fractional coordinates of all 5 atoms:
Tb 0.5000 0.0000 0.0000  2 C 2.50
Er 0.0000 0.0000 0.5000  2 C 2.43
Er 0.0000 0.5000 0.0000  2 C 2.43
Cd 0.5000 0.5000 0.5000  4 Tb 3.43, 8 Er 3.49
C 0.0000 0.0000 0.0000  4 Er 2.43, 2 Tb 2.50